No. 1
Density functional theory data (PBE-GGA) for a relaxed Y3Ho3Mg2 crystal.

- Energy relative to the elements: 0.078 eV/atom
- D(E_F): 13.4 states/eV/f.u.
- Total magnetization: 0.0 Bohr magnetons per cell

Structure (CIF):
```
data_Y3Ho3Mg2
_chemical_formula_sum 'Y12 Ho12 Mg8'
_symmetry_space_group_name_H-M 'C m c m'
_symmetry_Int_Tables_number 63
_symmetry_space_group_name_Hall '-C 2c 2'
_cell_length_a 5.2999
_cell_length_b 11.6586
_cell_length_c 15.6456
_cell_angle_alpha 90.00
_cell_angle_beta 90.00
_cell_angle_gamma 90.00
loop_
_atom_site_label
_atom_site_type_symbol
_atom_site_fract_x
_atom_site_fract_y
_atom_site_fract_z
Y1 Y 0.0000 0.0458 0.1030
Y2 Y 0.0000 0.2553 0.2500
Ho1 Ho 0.0000 0.3544 0.0324
Ho2 Ho 0.0000 0.4656 0.7500
Mg1 Mg 0.0000 0.2213 0.6451
```

***

No. 2
Density functional theory data (PBE-GGA) for a relaxed Sr2PrNd crystal.

- Energy relative to the elements: 0.193 eV/atom
- D(E_F): 6.1 states/eV/f.u.
- Total magnetization: 0.0 Bohr magnetons per cell

Structure (CIF):
```
data_Sr2PrNd
_chemical_formula_sum 'Sr2 Pr1 Nd1'
_symmetry_space_group_name_H-M 'P 4/m m m'
_symmetry_Int_Tables_number 123
_symmetry_space_group_name_Hall '-P 4 2'
_cell_length_a 5.3551
_cell_length_b 5.3551
_cell_length_c 5.8997
_cell_angle_alpha 90.00
_cell_angle_beta 90.00
_cell_angle_gamma 90.00
loop_
_atom_site_label
_atom_site_type_symbol
_atom_site_fract_x
_atom_site_fract_y
_atom_site_fract_z
Sr1 Sr 0.0000 0.5000 0.0000
Pr1 Pr 0.0000 0.0000 0.5000
Nd1 Nd 0.5000 0.5000 0.5000
```

***

No. 3
Density functional theory data (PBE-GGA) for a relaxed Li3CuRh3O8 crystal.

- Formation energy from raw total energies: -1059 meV/atom
- D(E_F): 4.8 states/eV/f.u.
- Total magnetization: 8.3 Bohr magnetons per cell

Structure (CIF):
```
data_Li3CuRh3O8
_chemical_formula_sum 'Li9 Cu3 Rh9 O24'
_symmetry_space_group_name_H-M 'R -3 m'
_symmetry_Int_Tables_number 166
_symmetry_space_group_name_Hall '-R 3 2"'
_cell_length_a 6.0935
_cell_length_b 6.0935
_cell_length_c 14.3820
_cell_angle_alpha 90.00
_cell_angle_beta 90.00
_cell_angle_gamma 120.00
loop_
_atom_site_label
_atom_site_type_symbol
_atom_site_fract_x
_atom_site_fract_y
_atom_site_fract_z
Li1 Li 0.0000 0.5000 0.0000
Cu1 Cu 0.0000 0.0000 0.5000
Rh1 Rh 0.0000 0.5000 0.5000
O1 O 0.0000 0.0000 0.2437
O2 O 0.0015 0.5008 0.2391
```

***

No. 4
Density functional theory data (PBE-GGA) for a relaxed Na3Hg2Bi3 crystal.

- Polymorph energy (0 for the lowest one): 2.4 meV per atom
- Energy relative to the elements: -0.210 eV/atom
- D(E_F): 1.4 states/eV/f.u.
- Total magnetization: 0.0 Bohr magnetons per cell

Structure (CIF):
```
data_Na3Hg2Bi3
_chemical_formula_sum 'Na12 Hg8 Bi12'
_symmetry_space_group_name_H-M 'C m c m'
_symmetry_Int_Tables_number 63
_symmetry_space_group_name_Hall '-C 2c 2'
_cell_length_a 4.9907
_cell_length_b 11.7296
_cell_length_c 17.0286
_cell_angle_alpha 90.00
_cell_angle_beta 90.00
_cell_angle_gamma 90.00
loop_
_atom_site_label
_atom_site_type_symbol
_atom_site_fract_x
_atom_site_fract_y
_atom_site_fract_z
Na1 Na 0.0000 0.0785 0.1222
Na2 Na 0.0000 0.3475 0.2500
Hg1 Hg 0.0000 0.1992 0.6163
Bi1 Bi 0.0000 0.3578 0.7500
Bi2 Bi 0.0000 0.3740 0.0281
```

***

No. 5
Density functional theory data (PBE-GGA) for a relaxed KSc2Al crystal.

- Energy relative to the elements: 0.098 eV/atom
- D(E_F): 4.5 states/eV/f.u.
- Total magnetization: 0.0 Bohr magnetons per cell

Structure (CIF):
```
data_KSc2Al
_chemical_formula_sum 'K1 Sc2 Al1'
_symmetry_space_group_name_H-M 'P 4/m m m'
_symmetry_Int_Tables_number 123
_symmetry_space_group_name_Hall '-P 4 2'
_cell_length_a 3.2649
_cell_length_b 3.2649
_cell_length_c 10.6465
_cell_angle_alpha 90.00
_cell_angle_beta 90.00
_cell_angle_gamma 90.00
loop_
_atom_site_label
_atom_site_type_symbol
_atom_site_fract_x
_atom_site_fract_y
_atom_site_fract_z
K1 K 0.0000 0.0000 0.0000
Sc1 Sc 0.5000 0.5000 0.3294
Al1 Al 0.0000 0.0000 0.5000
```

***

No. 6
Density functional theory data (PBE-GGA) for a relaxed ErTaB2 crystal.

- Energy relative to the elements: -0.201 eV/atom
- D(E_F): 1.9 states/eV/f.u.
- Total magnetization: 0.0 Bohr magnetons per cell

Structure (CIF):
```
data_ErTaB2
_chemical_formula_sum 'Er3 Ta3 B6'
_symmetry_space_group_name_H-M 'R -3 m'
_symmetry_Int_Tables_number 166
_symmetry_space_group_name_Hall '-R 3 2"'
_cell_length_a 3.4264
_cell_length_b 3.4264
_cell_length_c 17.3852
_cell_angle_alpha 90.00
_cell_angle_beta 90.00
_cell_angle_gamma 120.00
loop_
_atom_site_label
_atom_site_type_symbol
_atom_site_fract_x
_atom_site_fract_y
_atom_site_fract_z
Er1 Er 0.0000 0.0000 0.0000
Ta1 Ta 0.0000 0.0000 0.5000
B1 B 0.0000 0.0000 0.2362
```

***

No. 7
Density functional theory data (PBE-GGA) for a relaxed RbGeI2O crystal.

- Formation energy from raw total energies: -821 meV/atom
- Polymorph energy (0 for the lowest one): 0.0 meV per atom
- D(E_F): 2.4 states/eV/f.u.
- Total magnetization: 0.0 Bohr magnetons per cell

Structure (CIF):
```
data_RbGeI2O
_chemical_formula_sum 'Rb1 Ge1 I2 O1'
_symmetry_space_group_name_H-M 'P 4/m m m'
_symmetry_Int_Tables_number 123
_symmetry_space_group_name_Hall '-P 4 2'
_cell_length_a 6.3060
_cell_length_b 6.3060
_cell_length_c 3.8366
_cell_angle_alpha 90.00
_cell_angle_beta 90.00
_cell_angle_gamma 90.00
loop_
_atom_site_label
_atom_site_type_symbol
_atom_site_fract_x
_atom_site_fract_y
_atom_site_fract_z
Rb1 Rb 0.0000 0.0000 0.0000
Ge1 Ge 0.5000 0.5000 0.5000
I1 I 0.0000 0.5000 0.5000
O1 O 0.5000 0.5000 0.0000
```

***

No. 8
Density functional theory data (PBE-GGA) for a relaxed Pu3Hf2TiN6 crystal.

- Formation energy from raw total energies: -1515 meV/atom
- D(E_F): 21.5 states/eV/f.u.
- Total magnetization: 28.5 Bohr magnetons per cell

Structure (CIF):
```
data_Pu3Hf2TiN6
_chemical_formula_sum 'Pu6 Hf4 Ti2 N12'
_symmetry_space_group_name_H-M 'C 1 2/m 1'
_symmetry_Int_Tables_number 12
_symmetry_space_group_name_Hall '-C 2y'
_cell_length_a 5.6800
_cell_length_b 9.8411
_cell_length_c 5.8116
_cell_angle_alpha 90.00
_cell_angle_beta 109.00
_cell_angle_gamma 90.00
loop_
_atom_site_label
_atom_site_type_symbol
_atom_site_fract_x
_atom_site_fract_y
_atom_site_fract_z
Pu1 Pu 0.0000 0.0000 0.0000
Pu2 Pu 0.0000 0.3348 0.0000
Hf1 Hf 0.0000 0.1669 0.5000
Ti1 Ti 0.0000 0.5000 0.5000
N1 N 0.2391 0.3350 0.7222
N2 N 0.2440 0.0000 0.7217
```

***

No. 9
Density functional theory data (PBE-GGA) for a relaxed Na2ZnHAu crystal.

- Energy: -2.160 eV/atom
- D(E_F): 1.7 states/eV/f.u.
- Total magnetization: 0.0 Bohr magnetons per cell

Structure (CIF):
```
data_Na2ZnHAu
_chemical_formula_sum 'Na2 Zn1 H1 Au1'
_symmetry_space_group_name_H-M 'P 4/m m m'
_symmetry_Int_Tables_number 123
_symmetry_space_group_name_Hall '-P 4 2'
_cell_length_a 4.5501
_cell_length_b 4.5501
_cell_length_c 4.1042
_cell_angle_alpha 90.00
_cell_angle_beta 90.00
_cell_angle_gamma 90.00
loop_
_atom_site_label
_atom_site_type_symbol
_atom_site_fract_x
_atom_site_fract_y
_atom_site_fract_z
Na1 Na 0.0000 0.5000 0.0000
Zn1 Zn 0.0000 0.0000 0.5000
H1 H 0.0000 0.0000 0.0000
Au1 Au 0.5000 0.5000 0.5000
```

***

No. 10
Density functional theory data (PBE-GGA) for a relaxed CeU3As4 crystal.

- Energy relative to the elements: -0.888 eV/atom
- D(E_F): 21.7 states/eV/f.u.
- Total magnetization: 16.6 Bohr magnetons per cell

Structure (CIF):
```
data_CeU3As4
_chemical_formula_sum 'Ce2 U6 As8'
_symmetry_space_group_name_H-M 'C m m m'
_symmetry_Int_Tables_number 65
_symmetry_space_group_name_Hall '-C 2 2'
_cell_length_a 8.3203
_cell_length_b 11.6638
_cell_length_c 4.0879
_cell_angle_alpha 90.00
_cell_angle_beta 90.00
_cell_angle_gamma 90.00
loop_
_atom_site_label
_atom_site_type_symbol
_atom_site_fract_x
_atom_site_fract_y
_atom_site_fract_z
Ce1 Ce 0.0000 0.0000 0.0000
U1 U 0.0000 0.5000 0.0000
U2 U 0.2500 0.2500 0.5000
As1 As 0.0000 0.2525 0.0000
As2 As 0.2446 0.5000 0.5000
```

***

No. 11
Density functional theory data (PBE-GGA) for a relaxed Li7Pt crystal.

- Polymorph energy (0 for the lowest one): 31.8 meV per atom
- Energy relative to the elements: -0.174 eV/atom
- D(E_F): 2.8 states/eV/f.u.
- Total magnetization: 0.0 Bohr magnetons per cell

Structure (CIF):
```
data_Li7Pt
_chemical_formula_sum 'Li28 Pt4'
_symmetry_space_group_name_H-M 'F m -3 m'
_symmetry_Int_Tables_number 225
_symmetry_space_group_name_Hall '-F 4 2 3'
_cell_length_a 7.9271
_cell_length_b 7.9271
_cell_length_c 7.9271
_cell_angle_alpha 90.00
_cell_angle_beta 90.00
_cell_angle_gamma 90.00
loop_
_atom_site_label
_atom_site_type_symbol
_atom_site_fract_x
_atom_site_fract_y
_atom_site_fract_z
Li1 Li 0.0000 0.0000 0.0000
Li2 Li 0.0000 0.2500 0.2500
Pt1 Pt 0.0000 0.0000 0.5000
```

***

No. 12
Density functional theory data (PBE-GGA) for a relaxed RbNp6S8 crystal.

- Formation energy from raw total energies: -991 meV/atom
- D(E_F): 10.8 states/eV/f.u.
- Total magnetization: 0.0 Bohr magnetons per cell

Structure (CIF):
```
data_RbNp6S8
_chemical_formula_sum 'Rb3 Np18 S24'
_symmetry_space_group_name_H-M 'R -3'
_symmetry_Int_Tables_number 148
_symmetry_space_group_name_Hall '-R 3'
_cell_length_a 11.2958
_cell_length_b 11.2958
_cell_length_c 11.5882
_cell_angle_alpha 90.00
_cell_angle_beta 90.00
_cell_angle_gamma 120.00
loop_
_atom_site_label
_atom_site_type_symbol
_atom_site_fract_x
_atom_site_fract_y
_atom_site_fract_z
Rb1 Rb 0.0000 0.0000 0.0000
Np1 Np 0.0507 0.1957 0.4396
S1 S 0.0000 0.0000 0.2898
S2 S 0.0012 0.6516 0.0539
```

***

No. 13
Density functional theory data (PBE-GGA) for a relaxed CdFeRu crystal.

- Polymorph energy (0 for the lowest one): 57.3 meV per atom
- Energy relative to the elements: 0.300 eV/atom
- D(E_F): 2.7 states/eV/f.u.
- Total magnetization: 1.9 Bohr magnetons per cell

Structure (CIF):
```
data_CdFeRu
_chemical_formula_sum 'Cd1 Fe1 Ru1'
_symmetry_space_group_name_H-M 'P 3 m 1'
_symmetry_Int_Tables_number 156
_symmetry_space_group_name_Hall 'P 3 -2"'
_cell_length_a 2.7815
_cell_length_b 2.7815
_cell_length_c 6.7782
_cell_angle_alpha 90.00
_cell_angle_beta 90.00
_cell_angle_gamma 120.00
loop_
_atom_site_label
_atom_site_type_symbol
_atom_site_fract_x
_atom_site_fract_y
_atom_site_fract_z
Cd1 Cd 0.0000 0.0000 0.0000
Fe1 Fe 0.6667 0.3333 0.3499
Ru1 Ru 0.3333 0.6667 0.6329
```